1.
! ZrSi3Mo, relaxed, DFT GGA-PBE; values from VASP
! - Energy above the most stable polymorph in this dataset: 0.0 meV/atom
! - ΔE_f (raw): 0.5594 eV per atom
! - Symmetry: Pm-3m
! - Volume: 100 Å³/cell
! - Total moment: 0.00 μB/f.u.
&SYSTEM
  ibrav = 0, nat = 5, ntyp = 3
/
ATOMIC_SPECIES
Zr 91.22 Zr.upf
Si 28.09 Si.upf
Mo 95.94 Mo.upf
ATOMIC_POSITIONS angstrom
Zr 0.000 0.000 0.000
Si 0.000 2.320 2.320
Si 2.320 0.000 2.320
Si 2.320 2.320 0.000
Mo 2.320 2.320 2.320
CELL_PARAMETERS angstrom
4.640 0.000 0.000
0.000 4.640 0.000
0.000 0.000 4.640

***

2.
! Re8TcB2, relaxed, DFT GGA-PBE; values from VASP
! - Symmetry: C2/m
! - Volume: 150 Å³/cell
! - Total moment: 0.00 μB/f.u.
! - Raw total energy: -0.825 Ry per atom
&SYSTEM
  ibrav = 0, nat = 11, ntyp = 3
/
ATOMIC_SPECIES
Re 186.21 Re.upf
Tc 98.00 Tc.upf
B 10.81 B.upf
ATOMIC_POSITIONS angstrom
Re -0.265 0.000 3.361
Re 1.583 1.316 1.634
Re 3.454 2.606 0.000
Re 1.583 -1.316 1.634
Re 4.105 1.316 2.549
Re 3.454 -2.606 0.000
Re 4.105 -1.316 2.549
Re 5.952 0.000 0.822
Tc 3.454 0.000 0.000
B 2.844 3.255 2.092
B 2.844 -3.255 2.092
CELL_PARAMETERS angstrom
3.454 -5.187 0.000
3.454 5.187 0.000
-1.221 0.000 4.183